Entry 1:
{"formula": "CePmAg2", "functional": "PBE-GGA", "state": "optimized geometry", "lattice_angstrom": [[-0.5742, 1.9691, 2.6966], [1.7269, -0.5115, 2.8696], [7.6259, 6.9804, -1.3448]], "species": ["Ag", "Ag", "Ce", "Pm"], "fractional_positions": [[0.7492, 0.7492, 0.7525], [0.2508, 0.2508, 0.2475], [0.5000, 0.5000, 0.5000], [0.0000, 0.0000, 0.0000]], "energy_ev_per_atom": -4.044, "spacegroup": "R-3m, No. 166", "crystal_system": "trigonal", "e_above_lowest_polymorph_kj_per_mol_atoms": 20.0}


Entry 2:
{"formula": "CePm3Ag4", "functional": "PBE-GGA", "state": "optimized geometry", "lattice_angstrom": [[-1.0848, 2.1197, 2.8374], [-3.4771, -0.0729, -1.2748], [-2.7508, -12.4012, 8.2126]], "species": ["Ag", "Ag", "Ag", "Ag", "Ce", "Pm", "Pm", "Pm"], "fractional_positions": [[0.0000, 0.0000, 0.8708], [0.0000, 0.0000, 0.1292], [0.0000, 0.0000, 0.3756], [0.0000, 0.0000, 0.6244], [0.5000, 0.5000, 0.0000], [0.5000, 0.5000, 0.2509], [0.5000, 0.5000, 0.5000], [0.5000, 0.5000, 0.7491]], "energy_ev_per_atom": -4.160, "spacegroup": "P4/mmm, No. 123", "crystal_system": "tetragonal"}


Entry 3:
{"formula": "Ce2PmAg", "functional": "PBE-GGA", "state": "optimized geometry", "lattice_angstrom": [[-2.1765, 4.5532, -1.8165], [-3.0999, 2.9627, 3.2219], [1.7659, 4.7278, 1.8160]], "species": ["Ag", "Ce", "Ce", "Pm"], "fractional_positions": [[0.5000, 0.5000, 0.5000], [0.2500, 0.2500, 0.2500], [0.7500, 0.7500, 0.7500], [0.0000, 0.0000, 0.0000]], "energy_ev_per_atom": -4.689, "spacegroup": "Fm-3m, No. 225", "crystal_system": "cubic", "e_above_lowest_polymorph_kj_per_mol_atoms": 11.6}


Entry 4:
{"formula": "CePm2Ag6", "functional": "PBE-GGA", "state": "optimized geometry", "lattice_angstrom": [[3.3234, 0.0000, 0.0000], [1.6617, 8.5324, 1.1274], [1.6617, 3.5299, 7.8493]], "species": ["Ce", "Pm", "Pm", "Ag", "Ag", "Ag", "Ag", "Ag", "Ag"], "fractional_positions": [[0.5000, 0.5000, 0.5000], [0.3523, 0.1477, 0.1477], [0.6477, 0.8523, 0.8523], [0.1724, 0.5026, 0.1526], [0.8276, 0.4974, 0.8474], [0.8276, 0.8474, 0.4974], [0.0000, 0.1759, 0.8241], [0.0000, 0.8241, 0.1759], [0.1724, 0.1526, 0.5026]], "energy_ev_per_atom": -3.763, "spacegroup": "Immm, No. 71", "crystal_system": "orthorhombic", "e_above_lowest_polymorph_kj_per_mol_atoms": 7.0}


Entry 5:
{"formula": "CePmAg2", "functional": "PBE-GGA", "state": "optimized geometry", "lattice_angstrom": [[-2.8279, -2.3117, 0.2967], [0.9475, -1.5665, -3.1745], [4.4884, -5.0020, 3.8081]], "species": ["Ag", "Ag", "Ce", "Pm"], "fractional_positions": [[0.0000, 0.0000, 0.7574], [0.0000, 0.0000, 0.2426], [0.5000, 0.5000, 0.5000], [0.5000, 0.5000, 0.0000]], "energy_ev_per_atom": -4.251, "spacegroup": "P4/mmm, No. 123", "crystal_system": "tetragonal", "e_above_lowest_polymorph_kj_per_mol_atoms": 0.0}


Entry 6:
{"formula": "CePmPrAg", "functional": "PBE-GGA", "state": "optimized geometry", "lattice_angstrom": [[-5.4206, -0.5389, 0.3440], [-2.2657, -4.9626, -0.1747], [-2.2510, -2.1320, 4.4921]], "species": ["Pr", "Ag", "Ce", "Pm"], "fractional_positions": [[0.5000, 0.5000, 0.5000], [0.2500, 0.2500, 0.2500], [0.0000, 0.0000, 0.0000], [0.7500, 0.7500, 0.7500]], "energy_ev_per_atom": -4.443, "spacegroup": "F-43m, No. 216", "crystal_system": "cubic"}


Entry 7:
{"formula": "CePmAgRh", "functional": "PBE-GGA", "state": "optimized geometry", "lattice_angstrom": [[5.1026, 0.0000, 0.0000], [2.5513, 4.4190, 0.0000], [2.5513, 1.4730, 4.1663]], "species": ["Rh", "Ag", "Ce", "Pm"], "fractional_positions": [[0.7500, 0.7500, 0.7500], [0.2500, 0.2500, 0.2500], [0.5000, 0.5000, 0.5000], [0.0000, 0.0000, 0.0000]], "energy_ev_per_atom": -5.607, "spacegroup": "F-43m, No. 216", "crystal_system": "cubic"}


Entry 8:
{"formula": "CePmAgRu", "functional": "PBE-GGA", "state": "optimized geometry", "lattice_angstrom": [[-2.6015, 2.6112, 3.4849], [-4.6606, 1.6988, -1.0602], [-4.0356, -2.0948, 2.2487]], "species": ["Ru", "Ag", "Ce", "Pm"], "fractional_positions": [[0.7500, 0.7500, 0.7500], [0.2500, 0.2500, 0.2500], [0.0000, 0.0000, 0.0000], [0.5000, 0.5000, 0.5000]], "energy_ev_per_atom": -5.873, "spacegroup": "F-43m, No. 216", "crystal_system": "cubic"}


Entry 9:
{"formula": "CePmAgSb", "functional": "PBE-GGA", "state": "optimized geometry", "lattice_angstrom": [[-4.9911, 0.5332, -1.8930], [-4.1163, -2.2231, 2.6255], [-3.5293, 3.1091, 2.5799]], "species": ["Sb", "Ag", "Ce", "Pm"], "fractional_positions": [[0.7500, 0.7500, 0.7500], [0.2500, 0.2500, 0.2500], [0.5000, 0.5000, 0.5000], [0.0000, 0.0000, 0.0000]], "energy_ev_per_atom": -4.946, "raw_formation_energy_ev_per_atom": -0.531, "spacegroup": "F-43m, No. 216", "crystal_system": "cubic"}


Entry 10:
{"formula": "CePmSiAg", "functional": "PBE-GGA", "state": "optimized geometry", "lattice_angstrom": [[5.1859, 0.0000, 0.0000], [2.5929, 4.4911, 0.0000], [2.5929, 1.4970, 4.2342]], "species": ["Si", "Ag", "Ce", "Pm"], "fractional_positions": [[0.5000, 0.5000, 0.5000], [0.0000, 0.0000, 0.0000], [0.7500, 0.7500, 0.7500], [0.2500, 0.2500, 0.2500]], "energy_ev_per_atom": -5.075, "raw_formation_energy_ev_per_atom": -0.335, "spacegroup": "F-43m, No. 216", "crystal_system": "cubic"}


Entry 11:
{"formula": "TbCePmAg", "functional": "PBE-GGA", "state": "optimized geometry", "lattice_angstrom": [[-0.5423, 1.2412, 5.2136], [-4.8927, 0.0949, 2.2513], [-1.4092, -3.8057, 3.5422]], "species": ["Tb", "Ag", "Ce", "Pm"], "fractional_positions": [[0.5000, 0.5000, 0.5000], [0.2500, 0.2500, 0.2500], [0.0000, 0.0000, 0.0000], [0.7500, 0.7500, 0.7500]], "energy_ev_per_atom": -4.417, "spacegroup": "F-43m, No. 216", "crystal_system": "cubic"}


Entry 12:
{"formula": "CePmAgTe", "functional": "PBE-GGA", "state": "optimized geometry", "lattice_angstrom": [[-3.5884, 1.1772, 3.8109], [1.3908, -0.2841, 5.1740], [0.5280, 4.4916, 2.8864]], "species": ["Te", "Ag", "Ce", "Pm"], "fractional_positions": [[0.2500, 0.2500, 0.2500], [0.7500, 0.7500, 0.7500], [0.5000, 0.5000, 0.5000], [0.0000, 0.0000, 0.0000]], "energy_ev_per_atom": -4.761, "raw_formation_energy_ev_per_atom": -0.592, "spacegroup": "F-43m, No. 216", "crystal_system": "cubic"}


Entry 13:
{"formula": "CePm2Tl2Ag2", "functional": "PBE-GGA", "state": "optimized geometry", "lattice_angstrom": [[4.9790, 0.0000, 0.0000], [2.4895, 4.3119, 0.0000], [2.4895, 1.4373, 8.9795]], "species": ["Ce", "Pm", "Pm", "Tl", "Tl", "Ag", "Ag"], "fractional_positions": [[0.0000, 0.0000, 0.0000], [0.1248, 0.1248, 0.6257], [0.8752, 0.8752, 0.3743], [0.7381, 0.7381, 0.7858], [0.2619, 0.2619, 0.2142], [0.6010, 0.6010, 0.1970], [0.3990, 0.3990, 0.8030]], "energy_ev_per_atom": -3.857, "spacegroup": "R-3m, No. 166", "crystal_system": "trigonal"}


Entry 14:
{"formula": "CePmTlAg", "functional": "PBE-GGA", "state": "optimized geometry", "lattice_angstrom": [[5.4053, 0.0000, 0.0000], [2.7026, 4.6811, 0.0000], [2.7026, 1.5604, 4.4134]], "species": ["Tl", "Ag", "Ce", "Pm"], "fractional_positions": [[0.7500, 0.7500, 0.7500], [0.2500, 0.2500, 0.2500], [0.5000, 0.5000, 0.5000], [0.0000, 0.0000, 0.0000]], "energy_ev_per_atom": -4.190, "spacegroup": "F-43m, No. 216", "crystal_system": "cubic"}


Entry 15:
{"formula": "Ce2PmTl2Ag2", "functional": "PBE-GGA", "state": "optimized geometry", "lattice_angstrom": [[4.8115, 0.0000, 0.0000], [2.4057, 4.1669, 0.0000], [2.4057, 1.3890, 8.9461]], "species": ["Ce", "Ce", "Pm", "Tl", "Tl", "Ag", "Ag"], "fractional_positions": [[0.1437, 0.1437, 0.5689], [0.8563, 0.8563, 0.4311], [0.0000, 0.0000, 0.0000], [0.7313, 0.7313, 0.8060], [0.2687, 0.2687, 0.1940], [0.5699, 0.5699, 0.2904], [0.4301, 0.4301, 0.7096]], "energy_ev_per_atom": -4.027, "spacegroup": "R-3m, No. 166", "crystal_system": "trigonal"}


Entry 16:
{"formula": "CePmTmAg", "functional": "PBE-GGA", "state": "optimized geometry", "lattice_angstrom": [[-1.7404, -0.6501, 5.0217], [3.1386, -2.3659, 3.6360], [2.1418, 2.8842, 3.9702]], "species": ["Tm", "Ag", "Ce", "Pm"], "fractional_positions": [[0.0000, 0.0000, 0.0000], [0.2500, 0.2500, 0.2500], [0.5000, 0.5000, 0.5000], [0.7500, 0.7500, 0.7500]], "energy_ev_per_atom": -4.380, "spacegroup": "F-43m, No. 216", "crystal_system": "cubic"}


Entry 17:
{"formula": "CePmZnAg", "functional": "PBE-GGA", "state": "optimized geometry", "lattice_angstrom": [[-1.6589, 4.7800, 1.3229], [-4.2428, 2.0230, -2.2927], [-4.4254, 0.5701, 2.7279]], "species": ["Zn", "Ag", "Ce", "Pm"], "fractional_positions": [[0.2500, 0.2500, 0.2500], [0.7500, 0.7500, 0.7500], [0.0000, 0.0000, 0.0000], [0.5000, 0.5000, 0.5000]], "energy_ev_per_atom": -3.876, "spacegroup": "F-43m, No. 216", "crystal_system": "cubic", "e_above_lowest_polymorph_kj_per_mol_atoms": 2.4}


Entry 18:
{"formula": "CePmZnAg", "functional": "PBE-GGA", "state": "optimized geometry", "lattice_angstrom": [[-3.3401, 1.5304, -0.3169], [-1.5277, -3.3548, -0.1003], [-0.6601, 0.0809, 7.3484]], "species": ["Ce", "Pm", "Zn", "Ag"], "fractional_positions": [[0.5000, 0.5000, 0.1178], [0.5000, 0.5000, 0.5988], [0.0000, 0.0000, 0.3580], [0.0000, 0.0000, 0.8533]], "energy_ev_per_atom": -3.900, "spacegroup": "P4mm, No. 99", "crystal_system": "tetragonal", "e_above_lowest_polymorph_kj_per_mol_atoms": 0.0}


Entry 19:
{"formula": "Ce2PrAg", "functional": "PBE-GGA", "state": "optimized geometry", "lattice_angstrom": [[-0.1367, -0.7365, -3.4755], [3.2869, -1.3463, 0.1560], [-3.4841, -8.2866, 1.8930]], "species": ["Pr", "Ag", "Ce", "Ce"], "fractional_positions": [[0.5000, 0.5000, 0.5000], [0.5000, 0.5000, 0.0000], [0.0000, 0.0000, 0.7803], [0.0000, 0.0000, 0.2197]], "energy_ev_per_atom": -4.816, "spacegroup": "P4/mmm, No. 123", "crystal_system": "tetragonal", "e_above_lowest_polymorph_kj_per_mol_atoms": 0.0}


Entry 20:
{"formula": "CePr2Ag", "functional": "PBE-GGA", "state": "optimized geometry", "lattice_angstrom": [[-1.2884, -1.2305, 3.1367], [2.2723, -1.1584, 2.5510], [0.8059, 9.2785, 6.0421]], "species": ["Ce", "Pr", "Pr", "Ag"], "fractional_positions": [[0.4995, 0.4995, 0.5018], [0.0754, 0.0754, 0.7733], [0.2580, 0.2580, 0.2260], [0.6672, 0.6672, 0.9989]], "energy_ev_per_atom": -4.516, "spacegroup": "R3m, No. 160", "crystal_system": "trigonal", "e_above_lowest_polymorph_kj_per_mol_atoms": 13.0}


Entry 21:
{"formula": "Ce2PrAg", "functional": "PBE-GGA", "state": "optimized geometry", "lattice_angstrom": [[-0.8163, 0.6384, -3.0861], [-1.4245, -2.2964, -1.8153], [-11.4275, 3.2224, 1.9722]], "species": ["Pr", "Ag", "Ce", "Ce"], "fractional_positions": [[0.0000, 0.0000, 0.0000], [0.5000, 0.5000, 0.5000], [0.0929, 0.0929, 0.7214], [0.9071, 0.9071, 0.2786]], "energy_ev_per_atom": -4.648, "spacegroup": "R-3m, No. 166", "crystal_system": "trigonal", "e_above_lowest_polymorph_kj_per_mol_atoms": 16.2}


Entry 22:
{"formula": "CePr2Ag", "functional": "PBE-GGA", "state": "optimized geometry", "lattice_angstrom": [[5.4267, 0.0000, 0.0000], [2.7134, 4.6997, 0.0000], [2.7134, 1.5666, 4.4309]], "species": ["Pr", "Pr", "Ag", "Ce"], "fractional_positions": [[0.2500, 0.2500, 0.2500], [0.7500, 0.7500, 0.7500], [0.0000, 0.0000, 0.0000], [0.5000, 0.5000, 0.5000]], "energy_ev_per_atom": -4.455, "spacegroup": "Fm-3m, No. 225", "crystal_system": "cubic", "e_above_lowest_polymorph_kj_per_mol_atoms": 18.8}


Entry 23:
{"formula": "CePr2Ag", "functional": "PBE-GGA", "state": "optimized geometry", "lattice_angstrom": [[3.5468, 0.0000, 0.0000], [0.0000, 5.6676, 0.0000], [0.0000, 0.0000, 5.6676]], "species": ["Pr", "Pr", "Ag", "Ce"], "fractional_positions": [[0.0000, 0.0000, 0.5000], [0.0000, 0.5000, 0.0000], [0.5000, 0.5000, 0.5000], [0.5000, 0.0000, 0.0000]], "energy_ev_per_atom": -4.585, "spacegroup": "P4/mmm, No. 123", "crystal_system": "tetragonal", "e_above_lowest_polymorph_kj_per_mol_atoms": 6.3}


Entry 24:
{"formula": "CePrAg4", "functional": "PBE-GGA", "state": "optimized geometry", "lattice_angstrom": [[5.7890, 0.0000, 0.0000], [2.8945, 5.0134, 0.0000], [2.8945, 1.6711, 4.7267]], "species": ["Pr", "Ag", "Ag", "Ag", "Ag", "Ce"], "fractional_positions": [[0.2500, 0.2500, 0.2500], [0.6250, 0.6250, 0.1250], [0.6250, 0.1250, 0.6250], [0.6250, 0.6250, 0.6250], [0.1250, 0.6250, 0.6250], [0.0000, 0.0000, 0.0000]], "energy_ev_per_atom": -3.785, "spacegroup": "F-43m, No. 216", "crystal_system": "cubic", "e_above_lowest_polymorph_kj_per_mol_atoms": 9.7}


Entry 25:
{"formula": "CePrAg4", "functional": "PBE-GGA", "state": "optimized geometry", "lattice_angstrom": [[4.9093, -0.0014, 0.0006], [0.0015, 6.3061, 2.2882], [-0.0010, 0.2552, 9.1439]], "species": ["Ce", "Ce", "Pr", "Pr", "Ag", "Ag", "Ag", "Ag", "Ag", "Ag", "Ag", "Ag"], "fractional_positions": [[0.7500, 0.6283, 0.2434], [0.2500, 0.3717, 0.7566], [0.7500, 0.1217, 0.2565], [0.2500, 0.8783, 0.7435], [0.2500, 0.7773, 0.4166], [0.2500, 0.9556, 0.0833], [0.7500, 0.6933, 0.5834], [0.7500, 0.5395, 0.9167], [0.7500, 0.2227, 0.5834], [0.2500, 0.3067, 0.4166], [0.7500, 0.0444, 0.9167], [0.2500, 0.4605, 0.0833]], "energy_ev_per_atom": -3.886, "spacegroup": "Cmcm, No. 63", "crystal_system": "orthorhombic", "e_above_lowest_polymorph_kj_per_mol_atoms": 0.0}


Entry 26:
{"formula": "Ce2PrAg6", "functional": "PBE-GGA", "state": "optimized geometry", "lattice_angstrom": [[-2.0193, -1.1784, 2.3058], [6.6912, -1.5039, 5.0921], [2.6780, 6.0283, 5.4269]], "species": ["Ce", "Ce", "Pr", "Ag", "Ag", "Ag", "Ag", "Ag", "Ag"], "fractional_positions": [[0.0000, 0.3333, 0.3333], [0.0000, 0.6667, 0.6667], [0.0000, 0.0000, 0.0000], [0.4998, 0.6659, 0.0000], [0.5002, 0.0000, 0.3341], [0.5002, 0.3341, 0.0000], [0.5000, 0.6659, 0.3341], [0.4998, 0.0000, 0.6659], [0.5000, 0.3341, 0.6659]], "energy_ev_per_atom": -3.938, "spacegroup": "P6/mmm, No. 191", "crystal_system": "hexagonal"}


Entry 27:
{"formula": "CePr2Ag", "functional": "PBE-GGA", "state": "optimized geometry", "lattice_angstrom": [[3.3939, 0.0000, 0.0000], [1.6970, 2.9392, 0.0000], [1.6970, 0.9797, 11.8567]], "species": ["Pr", "Pr", "Ag", "Ce"], "fractional_positions": [[0.0939, 0.0939, 0.7183], [0.9061, 0.9061, 0.2817], [0.5000, 0.5000, 0.5000], [0.0000, 0.0000, 0.0000]], "energy_ev_per_atom": -4.385, "spacegroup": "R-3m, No. 166", "crystal_system": "trigonal", "e_above_lowest_polymorph_kj_per_mol_atoms": 25.5}


Entry 28:
{"formula": "CePr5Ag4", "functional": "PBE-GGA", "state": "optimized geometry", "lattice_angstrom": [[3.7366, 0.0000, 0.0000], [0.0000, 3.7366, 0.0000], [0.0000, 0.0000, 20.1140]], "species": ["Ce", "Pr", "Pr", "Pr", "Pr", "Pr", "Ag", "Ag", "Ag", "Ag"], "fractional_positions": [[0.0000, 0.0000, 0.0000], [0.5000, 0.5000, 0.1167], [0.5000, 0.5000, 0.3076], [0.5000, 0.5000, 0.5000], [0.5000, 0.5000, 0.6924], [0.5000, 0.5000, 0.8833], [0.0000, 0.0000, 0.2123], [0.0000, 0.0000, 0.4039], [0.0000, 0.0000, 0.5961], [0.0000, 0.0000, 0.7877]], "energy_ev_per_atom": -4.296, "spacegroup": "P4/mmm, No. 123", "crystal_system": "tetragonal"}


Entry 29:
{"formula": "CePr2Ag", "functional": "PBE-GGA", "state": "optimized geometry", "lattice_angstrom": [[3.7142, 0.0000, 0.0000], [0.0000, 3.7142, 0.0000], [0.0000, 0.0000, 8.5334]], "species": ["Pr", "Pr", "Ag", "Ce"], "fractional_positions": [[0.0000, 0.0000, 0.7739], [0.0000, 0.0000, 0.2261], [0.5000, 0.5000, 0.0000], [0.5000, 0.5000, 0.5000]], "energy_ev_per_atom": -4.650, "spacegroup": "P4/mmm, No. 123", "crystal_system": "tetragonal", "e_above_lowest_polymorph_kj_per_mol_atoms": 0.0}